## one
First-principles (PBE-GGA) data for a geometry-optimized AgAs5 structure, as listed in the Alexandria database.

Cell and atoms, written as POSCAR:
```
AgAs5
1.0
2.7879 0.0000 0.0000
0.0000 2.7879 0.0000
0.0000 0.0000 15.2406
Ag As
1 5
Cartesian
0.0000 0.0000 0.0000 Ag
0.0000 0.0000 5.1638 As
0.0000 0.0000 10.0768 As
1.3939 1.3939 2.3134 As
1.3939 1.3939 7.6203 As
1.3939 1.3939 12.9272 As
```

## Properties
The crystal system is tetragonal. The value obtained for the calculated volume is 19.7 A^3/atom. Its space-group type is P4/mmm, No. 123. The total magnetization is 0.00 Bohr magnetons per cell.

## two
First-principles (PBE-GGA) data for a geometry-optimized AgAs5 structure, as listed in the Alexandria database.

Cell and atoms, written as POSCAR:
```
AgAs5
1.0
6.2561 -1.7962 0.0000
6.2561 1.7962 0.0000
-5.7745 0.0000 6.3753
Ag As
1 5
Cartesian
0.0000 0.0000 0.0000 Ag
2.6392 0.0000 0.2862 As
0.0290 0.0000 4.1734 As
6.6504 0.0000 2.0981 As
4.5570 0.0000 4.7575 As
9.1251 0.0000 2.0271 As
```

## Properties
The crystal system is monoclinic. The value obtained for the calculated volume is 23.9 A^3/atom. Its space-group type is Cm, No. 8. The total magnetization is 0.00 Bohr magnetons per cell.

Last place for stability: one

## one
First-principles (PBE-GGA) data for a geometry-optimized Ag3As2 structure, as listed in the Alexandria database.

Cell and atoms, written as POSCAR:
```
Ag3As2
1.0
3.3066 1.9091 5.8513
-3.3066 1.9091 5.8513
0.0000 -3.8182 5.8513
Ag As
6 4
Cartesian
-2.4684 -0.4572 7.3142 Ag
-0.8382 -2.3663 10.2398 Ag
1.6302 -1.9091 7.3142 Ag
-1.6302 1.9091 10.2398 Ag
0.8382 2.3663 7.3142 Ag
2.4684 0.4572 10.2398 Ag
0.0000 0.0000 2.1921 As
0.0000 0.0000 6.5849 As
0.0000 0.0000 10.9691 As
0.0000 0.0000 15.3618 As
```

## Properties
The crystal system is trigonal. The value obtained for the calculated volume is 22.2 A^3/atom. Its space-group type is R-3c, No. 167. The total magnetization is 0.00 Bohr magnetons per cell.

## two
First-principles (PBE-GGA) data for a geometry-optimized Ag3As2 structure, as listed in the Alexandria database.

Cell and atoms, written as POSCAR:
```
Ag3As2
1.0
4.5673 0.0000 0.0000
-2.2836 3.9554 0.0000
0.0000 0.0000 5.6390
Ag As
3 2
Cartesian
0.0000 0.0000 0.0000 Ag
0.0000 2.6369 1.8584 Ag
2.2836 1.3185 3.7806 Ag
0.0000 2.6369 4.5103 As
2.2836 1.3185 1.1287 As
```

## Properties
The crystal system is trigonal. The value obtained for the calculated volume is 20.4 A^3/atom. Its space-group type is P-3m1, No. 164. The total magnetization is 0.00 Bohr magnetons per cell.

Last place for stability: one

## one
First-principles (PBE-GGA) data for a geometry-optimized Ag3As5 structure, as listed in the Alexandria database.

Cell and atoms, written as POSCAR:
```
Ag3As5
1.0
8.3871 0.0000 0.0000
-4.1936 7.2634 0.0000
0.0000 0.0000 5.6496
Ag As
6 10
Cartesian
-2.0273 3.5115 1.4124 Ag
-2.1662 3.7520 4.2372 Ag
4.0547 0.0000 1.4124 Ag
2.0273 3.5115 4.2372 Ag
4.3324 0.0000 4.2372 Ag
2.1662 3.7520 1.4124 Ag
-0.7138 1.2364 4.2372 As
-3.4797 6.0271 1.4124 As
1.4276 0.0000 4.2372 As
0.7138 1.2364 1.4124 As
0.0000 4.8423 0.0000 As
0.0000 4.8423 2.8248 As
4.1936 2.4211 0.0000 As
4.1936 2.4211 2.8248 As
6.9595 0.0000 1.4124 As
3.4797 6.0271 4.2372 As
```

## Properties
The crystal system is hexagonal. The value obtained for the calculated volume is 21.5 A^3/atom. Its space-group type is P6_3/mcm, No. 193. The total magnetization is 0.00 Bohr magnetons per cell.

## two
First-principles (PBE-GGA) data for a geometry-optimized Ag3As5 structure, as listed in the Alexandria database.

Cell and atoms, written as POSCAR:
```
Ag3As5
1.0
3.7567 -4.0088 0.0000
3.7567 4.0088 0.0000
0.0000 0.0000 5.1575
Ag As
3 5
Cartesian
0.0000 0.0000 0.0000 Ag
3.7567 2.4955 2.5787 Ag
3.7567 -2.4955 2.5787 Ag
1.8783 2.0044 0.0000 As
2.3921 0.0000 2.5787 As
1.8783 -2.0044 0.0000 As
3.7567 0.0000 0.0000 As
5.1213 0.0000 2.5787 As
```

## Properties
The crystal system is orthorhombic. The value obtained for the calculated volume is 19.4 A^3/atom. Its space-group type is Cmmm, No. 65. The total magnetization is 0.00 Bohr magnetons per cell.

Last place for stability: two